a:
Density functional theory data (PBE) for a geometry-optimized KSF2 structure.

Cell lengths 4.721, 4.721, 14.208 Å; angles 90.00, 90.00, 90.00 degrees
Space group I-42d (No. 122)
Symmetry-distinct sites (fractional):
K  0.000  0.000  0.000 [4 per cell]
S  0.000  0.000  0.500 [4 per cell]
F  0.137  0.250  0.625 [8 per cell]

M_tot: 0.00 μB per formula unit
DOS at the Fermi energy: 0.58 states/eV per atom

b:
Density functional theory data (PBE) for a geometry-optimized KSF2 structure.

Cell lengths 3.9927, 3.9927, 19.0016 Å; angles 90.00, 90.00, 120.00 degrees
Space group R-3m (No. 166, hexagonal axes)
Symmetry-distinct sites (fractional):
K  0.0000  0.0000  0.0000 [3 per cell]
S  0.0000  0.0000  0.5000 [3 per cell]
F  0.0000  0.0000  0.4007 [6 per cell]

M_tot: 1.00 μB per formula unit
DOS at the Fermi energy: 0.27 states/eV per atom

c:
Density functional theory data (PBE) for a geometry-optimized KSF2 structure.

Cell lengths 3.8294, 3.8294, 17.9910 Å; angles 90.00, 90.00, 120.00 degrees
Space group R-3m (No. 166, hexagonal axes)
Symmetry-distinct sites (fractional):
K  0.0000  0.0000  0.0000 [3 per cell]
S  0.0000  0.0000  0.5000 [3 per cell]
F  0.0000  0.0000  0.2507 [6 per cell]

M_tot: 3.00 μB per formula unit
DOS at the Fermi energy: 0.00 states/eV per atom

d:
Density functional theory data (PBE) for a geometry-optimized KSF2 structure.

Cell lengths 6.479, 6.479, 6.479 Å; angles 90.00, 90.00, 90.00 degrees
Space group Fm-3m (No. 225)
Symmetry-distinct sites (fractional):
K  0.000  0.000  0.000 [4 per cell]
S  0.000  0.000  0.500 [4 per cell]
F  0.250  0.250  0.250 [8 per cell]

M_tot: 3.00 μB per formula unit
DOS at the Fermi energy: 0.00 states/eV per atom

Stability ranking, top and bottom: b is the most stable and d is the least stable.

a:
Density functional theory data (PBE) for a geometry-optimized K2SF structure.

Cell lengths 7.360, 7.360, 7.360 Å; angles 90.00, 90.00, 90.00 degrees
Space group Fm-3m (No. 225)
Symmetry-distinct sites (fractional):
K  0.250  0.250  0.250 [8 per cell]
S  0.000  0.000  0.000 [4 per cell]
F  0.000  0.000  0.500 [4 per cell]

M_tot: 1.00 μB per formula unit
DOS at the Fermi energy: 2.42 states/eV per atom

b:
Density functional theory data (PBE) for a geometry-optimized K2SF structure.

Cell lengths 3.9307, 3.9307, 22.8465 Å; angles 90.00, 90.00, 120.00 degrees
Space group R-3m (No. 166, hexagonal axes)
Symmetry-distinct sites (fractional):
K  0.0000  0.0000  0.2342 [6 per cell]
S  0.0000  0.0000  0.0000 [3 per cell]
F  0.0000  0.0000  0.5000 [3 per cell]

M_tot: 1.01 μB per formula unit
DOS at the Fermi energy: 0.19 states/eV per atom

Stability ranking, top and bottom: b is the most stable and a is the least stable.

a:
Density functional theory data (PBE) for a geometry-optimized K2SF structure.

Cell lengths 3.317, 3.317, 7.717 Å; angles 90.00, 90.00, 90.00 degrees
Space group P4/mmm (No. 123)
Symmetry-distinct sites (fractional):
K  0.000  0.000  0.208 [2 per cell]
S  0.500  0.500  0.500 [1 per cell]
F  0.500  0.500  0.000 [1 per cell]

M_tot: 0.00 μB per formula unit
DOS at the Fermi energy: 0.38 states/eV per atom

b:
Density functional theory data (PBE) for a geometry-optimized K2SF structure.

Cell lengths 7.449, 7.449, 8.559 Å; angles 90.00, 90.00, 90.00 degrees
Space group I-42d (No. 122)
Symmetry-distinct sites (fractional):
K  0.180  0.250  0.125 [8 per cell]
S  0.000  0.000  0.500 [4 per cell]
F  0.000  0.000  0.000 [4 per cell]

M_tot: 1.00 μB per formula unit
DOS at the Fermi energy: 0.13 states/eV per atom

Stability ranking, top and bottom: a is the most stable and b is the least stable.

a:
Density functional theory data (PBE) for a geometry-optimized K2SF6 structure.

Cell lengths 8.380, 8.380, 8.380 Å; angles 90.00, 90.00, 90.00 degrees
Space group Fm-3m (No. 225)
Symmetry-distinct sites (fractional):
K  0.250  0.250  0.250 [8 per cell]
S  0.000  0.000  0.000 [4 per cell]
F  0.000  0.000  0.224 [24 per cell]

M_tot: 0.00 μB per formula unit
DOS at the Fermi energy: 0.00 states/eV per atom

b:
Density functional theory data (PBE) for a geometry-optimized K2SF6 structure.

Cell lengths 9.992, 5.772, 4.791 Å; angles 90.00, 90.08, 90.00 degrees
Space group C2/m (No. 12)
Symmetry-distinct sites (fractional):
K  0.167  0.000  0.284 [4 per cell]
S  0.000  0.500  0.000 [2 per cell]
F  0.078  0.266  0.782 [8 per cell]
F  0.156  0.500  0.218 [4 per cell]

M_tot: 0.00 μB per formula unit
DOS at the Fermi energy: 0.00 states/eV per atom

Stability ranking, top and bottom: a is the most stable and b is the least stable.